Crystalline YCu2TcO at its relaxed geometry, computed with PBE.

a b c (Å): 4.850 4.850 3.755
angles (deg): 90.00 90.00 90.00
Fractional positions:
Y1 0.000 0.000 0.000
Cu1 0.000 0.500 0.500
Cu2 0.500 0.000 0.500
Tc1 0.500 0.500 0.500
O1 0.500 0.500 0.000

Output
The uncorrected formation energy comes out at -0.1439 eV/atom. Its calculated total energy is -6.140 eV per atom.



Crystalline YCuTc2O at its relaxed geometry, computed with PBE.

a b c (Å): 4.875 4.875 3.598
angles (deg): 90.00 90.00 90.00
Fractional positions:
Y1 0.000 0.000 0.000
Cu1 0.500 0.500 0.500
Tc1 0.000 0.500 0.500
Tc2 0.500 0.000 0.500
O1 0.500 0.500 0.000

Output
As for the offset from the most stable computed form: 0 meV/atom. The uncorrected formation energy comes out at 0.8296 eV/atom. Its calculated total energy is -6.421 eV per atom.



Crystalline YCuTc2O at its relaxed geometry, computed with PBE.

a b c (Å): 5.356 5.356 4.140
angles (deg): 90.00 90.00 90.00
Fractional positions:
Y1 0.000 0.000 0.000
Cu1 0.500 0.500 0.500
Tc1 0.000 0.500 0.000
Tc2 0.500 0.000 0.000
O1 0.000 0.000 0.500

Output
As for the offset from the most stable computed form: 542 meV/atom. The uncorrected formation energy comes out at 1.3712 eV/atom. Its calculated total energy is -5.879 eV per atom.